A plane-wave DFT calculation with GGA+U was carried out for a relaxed structure of V4Fe2O9.

Results
Spin magnetization, μB/cell: 36.0
VASP energy, eV/atom: -7.562

Cell lengths 5.1488, 5.1488, 14.0181 Å; angles 90.00, 90.00, 120.00 degrees
Space group P-3c1 (No. 165)
Inequivalent atoms, fractional coordinates:
V: 0.3333 0.6667 0.0182
V: 0.3333 0.6667 0.3145
Fe: 0.0000 0.0000 0.1479
O: 0.0000 0.3021 0.2500
O: 0.0320 0.3618 0.9163